{
  "formula": "AcInRuO6",
  "functional": "PBE-GGA",
  "state": "relaxed",
  "crystal_system": "trigonal",
  "formation_energy_uncorrected_ev_per_atom": -1.717,
  "lattice": [[5.475, 0.000, 0.000], [-2.738, 4.742, 0.000], [0.000, 0.000, 5.266]],
  "species": ["Ac", "In", "Ru", "O", "O", "O", "O", "O", "O"],
  "fractional_positions": [[0.000, 0.000, 0.000], [0.333, 0.667, 0.500], [0.667, 0.333, 0.500], [0.385, 0.032, 0.712], [0.385, 0.353, 0.288], [0.647, 0.032, 0.288], [0.647, 0.615, 0.712], [0.968, 0.353, 0.712], [0.968, 0.615, 0.288]]
}